Record 1
5
Lattice="5.014 0.000 0.000 0.000 5.014 0.000 0.000 0.000 5.014" Properties=species:S:1:pos:R:3 comment="CuHg3As (PBE-GGA, optimized geometry)" formation_enthalpy_0k_ev_per_atom=0.509 sg=Pm-3m magmom_total_mub_per_atom=0.000 dos_at_fermi_per_ev_fu=4.03 pbc="T T T"
Hg 0.000 2.507 0.000
Hg 2.507 0.000 0.000
Hg 0.000 0.000 2.507
Cu 0.000 0.000 0.000
As 2.507 2.507 2.507

=====

Record 2
3
Lattice="-3.471 -0.787 2.010 2.119 -3.057 -1.693 2.153 -0.465 3.536" Properties=species:S:1:pos:R:3 comment="CuHgAs (PBE-GGA, optimized geometry)" formation_enthalpy_0k_ev_per_atom=0.208 sg=P3m1 magmom_total_mub_per_atom=0.000 dos_at_fermi_per_ev_fu=0.68 pbc="T T T"
Hg -0.216 -1.844 3.060
Cu 0.757 -2.409 0.364
As 0.261 -0.056 0.429

=====

Record 3
8
Lattice="-3.927 -1.705 -1.153 -1.055 -0.466 4.281 -5.641 6.161 1.577" Properties=species:S:1:pos:R:3 comment="Cu2HgAs (PBE-GGA, optimized geometry)" formation_enthalpy_0k_ev_per_atom=0.226 sg=I-42d magmom_total_mub_per_atom=0.000 dos_at_fermi_per_ev_fu=1.40 pbc="T T T"
Cu -2.938 0.872 2.815
Cu -6.201 3.762 2.767
Cu -3.619 0.580 0.319
Cu -8.489 2.766 3.507
Hg 0.000 0.000 0.000
Hg -6.030 1.685 0.994
As -4.594 2.305 3.711
As -2.491 -1.086 1.564